KCaNF2 | Alexandria via LeMat-Bulk | PBE-GGA | optimized geometry; E = -4.819 eV per atom; energy above the lowest structure with this stoichiometry = 0.0 meV per atom; formation energy (no corrections) = -1.79 eV per atom; total magnetization = 2.00 μB/f.u.
1.0
4.4901 0.0000 0.0000
0.0000 4.4901 0.0000
0.0000 0.0000 4.9486
N F Ca K
1 2 1 1
Direct
0.0000 0.0000 0.5000
0.0000 0.5000 0.0000
0.5000 0.0000 0.0000
0.0000 0.0000 0.0000
0.5000 0.5000 0.5000